# 1
DFT (GGA-PBE) results for a relaxed TaBe17Cr crystal.

Cell lengths 5.511, 5.511, 5.511 Å; angles 82.92, 82.92, 82.92 degrees
Sites, in units of the cell vectors:
Ta 0.000 0.000 0.000
Be 0.011 0.011 0.497
Be 0.011 0.497 0.011
Be 0.158 0.667 0.667
Be 0.315 0.315 0.816
Be 0.315 0.816 0.315
Be 0.366 0.658 0.962
Be 0.366 0.962 0.658
Be 0.497 0.011 0.011
Be 0.561 0.561 0.561
Be 0.658 0.366 0.962
Be 0.658 0.962 0.366
Be 0.667 0.158 0.667
Be 0.667 0.667 0.158
Be 0.760 0.760 0.760
Be 0.816 0.315 0.315
Be 0.962 0.366 0.658
Be 0.962 0.658 0.366
Cr 0.325 0.325 0.325

For the calculated total energy, the calculation gives -87.34 eV for the cell shown. The magnetization comes out at 0.114 μB per atom. As for the energy of formation: -132 meV per atom.



# 2
DFT (GGA-PBE) results for a relaxed Nd2TmPu crystal.

Cell lengths 3.559, 3.559, 10.133 Å; angles 90.00, 90.00, 90.00 degrees
Sites, in units of the cell vectors:
Nd 0.000 0.000 0.248
Nd 0.000 0.000 0.752
Tm 0.500 0.500 0.500
Pu 0.500 0.500 0.000

For the calculated total energy, the calculation gives -27.88 eV for the cell shown. The magnetization comes out at 1.498 μB per atom. As for the energy of formation: 114 meV per atom.



# 3
DFT (GGA-PBE) results for a relaxed AlSi2W crystal.

Cell lengths 4.845, 4.845, 4.845 Å; angles 139.82, 127.96, 67.72 degrees
Sites, in units of the cell vectors:
Al 0.000 0.000 0.000
Si 0.245 0.745 0.500
Si 0.482 0.482 0.000
W 0.734 0.234 0.500

As for the formation energy (no corrections): 0.32 eV per formula unit. For the calculated total energy, the calculation gives -27.22 eV for the cell shown. The magnetization comes out at 0.000 μB per atom.



# 4
DFT (GGA-PBE) results for a relaxed CdSiN2 crystal.

Cell lengths 6.284, 6.284, 6.284 Å; angles 27.05, 27.05, 27.05 degrees
Sites, in units of the cell vectors:
Cd 0.000 0.000 0.000
Si 0.500 0.500 0.500
N 0.115 0.115 0.115
N 0.885 0.885 0.885

As for the formation energy (no corrections): -0.40 eV per formula unit. For the calculated total energy, the calculation gives -23.39 eV for the cell shown. The magnetization comes out at 0.000 μB per atom.



# 5
DFT (GGA-PBE) results for a relaxed BaSn2Bi crystal.

Cell lengths 7.387, 7.387, 7.387 Å; angles 102.58, 102.58, 124.37 degrees
Sites, in units of the cell vectors:
Ba 0.000 0.000 0.000
Ba 0.750 0.250 0.500
Sn 0.164 0.625 0.039
Sn 0.375 0.414 0.539
Sn 0.586 0.125 0.961
Sn 0.875 0.836 0.461
Bi 0.250 0.750 0.500
Bi 0.500 0.500 0.000

For the calculated total energy, the calculation gives -29.80 eV for the cell shown. The magnetization comes out at 0.000 μB per atom. As for the energy of formation: -273 meV per atom.



# 6
DFT (GGA-PBE) results for a relaxed Rb2NaThS4 crystal.

Cell lengths 8.952, 8.952, 8.952 Å; angles 125.47, 117.72, 87.40 degrees
Sites, in units of the cell vectors:
Rb 0.000 0.000 0.000
Rb 0.500 0.000 0.000
Rb 0.500 0.000 0.500
Rb 0.500 0.500 0.500
Na 0.000 0.500 0.500
Na 0.500 0.500 0.000
Th 0.000 0.000 0.500
Th 0.000 0.500 0.000
S 0.198 0.243 0.955
S 0.211 0.757 0.455
S 0.219 0.275 0.557
S 0.219 0.662 0.943
S 0.781 0.338 0.057
S 0.781 0.725 0.443
S 0.789 0.243 0.545
S 0.802 0.757 0.045

As for the formation energy (no corrections): -10.70 eV per formula unit. For the calculated total energy, the calculation gives -75.76 eV for the cell shown. The magnetization comes out at 0.118 μB per atom.



# 7
DFT (GGA-PBE) results for a relaxed In6PO12 crystal.

Cell lengths 6.200, 6.200, 6.200 Å; angles 98.33, 98.33, 98.33 degrees
Sites, in units of the cell vectors:
In 0.106 0.637 0.803
In 0.197 0.894 0.363
In 0.363 0.197 0.894
In 0.637 0.803 0.106
In 0.803 0.106 0.637
In 0.894 0.363 0.197
P 0.500 0.500 0.500
O 0.072 0.325 0.898
O 0.102 0.928 0.675
O 0.222 0.525 0.432
O 0.325 0.898 0.072
O 0.432 0.222 0.525
O 0.475 0.568 0.778
O 0.525 0.432 0.222
O 0.568 0.778 0.475
O 0.675 0.102 0.928
O 0.778 0.475 0.568
O 0.898 0.072 0.325
O 0.928 0.675 0.102

As for the formation energy (no corrections): -28.53 eV per formula unit. For the calculated total energy, the calculation gives -109.87 eV for the cell shown. The magnetization comes out at 0.058 μB per atom.



# 8
DFT (GGA-PBE) results for a relaxed LiSbRh2 crystal.

Cell lengths 5.615, 5.615, 5.615 Å; angles 104.96, 104.96, 118.94 degrees
Sites, in units of the cell vectors:
Li 0.000 0.000 0.000
Li 0.750 0.250 0.500
Sb 0.250 0.750 0.500
Sb 0.500 0.500 0.000
Rh 0.120 0.625 0.995
Rh 0.375 0.370 0.495
Rh 0.630 0.125 0.005
Rh 0.875 0.880 0.505

As for the formation energy (no corrections): -0.05 eV per formula unit. For the calculated total energy, the calculation gives -41.58 eV for the cell shown. The magnetization comes out at 0.000 μB per atom.



# 9
DFT (GGA-PBE) results for a relaxed Nd4HgSe2S crystal.

Cell lengths 7.403, 4.190, 7.408 Å; angles 90.00, 108.90, 90.00 degrees
Sites, in units of the cell vectors:
Nd 0.238 0.000 0.244
Nd 0.239 0.500 0.745
Nd 0.761 0.500 0.255
Nd 0.762 0.000 0.756
Hg 0.500 0.000 0.000
Se 0.000 0.000 0.500
Se 0.500 0.500 0.500
S 0.000 0.500 0.000

As for the formation energy (no corrections): -12.10 eV per formula unit. For the calculated total energy, the calculation gives -42.57 eV for the cell shown. The magnetization comes out at 0.000 μB per atom.



# 10
DFT (GGA-PBE) results for a relaxed AuBr2Cl crystal.

Cell lengths 7.030, 6.786, 13.069 Å; angles 90.00, 106.02, 90.00 degrees
Sites, in units of the cell vectors:
Au 0.172 0.060 0.421
Au 0.172 0.440 0.921
Au 0.828 0.560 0.079
Au 0.828 0.940 0.579
Br 0.084 0.203 0.578
Br 0.084 0.297 0.078
Br 0.409 0.173 0.928
Br 0.409 0.327 0.428
Br 0.591 0.673 0.572
Br 0.591 0.827 0.072
Br 0.916 0.703 0.922
Br 0.916 0.797 0.422
Cl 0.248 0.580 0.777
Cl 0.248 0.920 0.277
Cl 0.752 0.080 0.723
Cl 0.752 0.420 0.223

As for the formation energy (no corrections): -0.70 eV per formula unit. For the calculated total energy, the calculation gives -36.68 eV for the cell shown. The magnetization comes out at 0.000 μB per atom.



# 11
DFT (GGA-PBE) results for a relaxed Zn2CrNi2 crystal.

Cell lengths 6.963, 6.963, 2.569 Å; angles 90.00, 90.00, 90.00 degrees
Sites, in units of the cell vectors:
Zn 0.171 0.329 0.000
Zn 0.329 0.829 0.000
Zn 0.671 0.171 0.000
Zn 0.829 0.671 0.000
Cr 0.000 0.000 0.500
Cr 0.500 0.500 0.500
Ni 0.126 0.626 0.500
Ni 0.374 0.126 0.500
Ni 0.626 0.874 0.500
Ni 0.874 0.374 0.500

For the calculated total energy, the calculation gives -45.72 eV for the cell shown. The magnetization comes out at 0.000 μB per atom. As for the energy of formation: 175 meV per atom.



# 12
DFT (GGA-PBE) results for a relaxed Cr2TeSe crystal.

Cell lengths 3.922, 3.922, 5.564 Å; angles 90.00, 90.00, 90.00 degrees
Sites, in units of the cell vectors:
Cr 0.000 0.000 0.000
Cr 0.500 0.500 0.500
Te 0.000 0.000 0.500
Se 0.500 0.500 0.000

As for the formation energy (no corrections): -0.42 eV per formula unit. For the calculated total energy, the calculation gives -26.29 eV for the cell shown. The magnetization comes out at 1.991 μB per atom.



# 13
DFT (GGA-PBE) results for a relaxed CsK2ZnAg crystal.

Cell lengths 6.601, 6.601, 5.327 Å; angles 90.00, 90.00, 90.00 degrees
Sites, in units of the cell vectors:
Cs 0.000 0.000 0.000
K 0.000 0.500 0.500
K 0.500 0.000 0.500
Zn 0.500 0.500 0.500
Ag 0.500 0.500 0.000

For the calculated total energy, the calculation gives -6.44 eV for the cell shown. The magnetization comes out at 0.000 μB per atom. As for the energy of formation: 147 meV per atom.



# 14
DFT (GGA-PBE) results for a relaxed PmCrB4 crystal.

Cell lengths 6.007, 11.614, 3.524 Å; angles 90.00, 90.00, 90.00 degrees
Sites, in units of the cell vectors:
Pm 0.123 0.151 0.000
Pm 0.377 0.651 0.000
Pm 0.623 0.349 0.000
Pm 0.877 0.849 0.000
Cr 0.120 0.422 0.000
Cr 0.380 0.922 0.000
Cr 0.620 0.078 0.000
Cr 0.880 0.578 0.000
B 0.025 0.689 0.500
B 0.112 0.546 0.500
B 0.140 0.967 0.500
B 0.224 0.818 0.500
B 0.276 0.318 0.500
B 0.360 0.467 0.500
B 0.388 0.046 0.500
B 0.475 0.189 0.500
B 0.525 0.811 0.500
B 0.612 0.954 0.500
B 0.640 0.533 0.500
B 0.724 0.682 0.500
B 0.776 0.182 0.500
B 0.860 0.033 0.500
B 0.888 0.454 0.500
B 0.975 0.311 0.500

For the calculated total energy, the calculation gives -177.88 eV for the cell shown. The magnetization comes out at 0.000 μB per atom. As for the energy of formation: -565 meV per atom.



# 15
DFT (GGA-PBE) results for a relaxed TiV2CdH crystal.

Cell lengths 3.909, 3.909, 4.257 Å; angles 90.00, 90.00, 90.00 degrees
Sites, in units of the cell vectors:
Ti 0.000 0.000 0.000
V 0.000 0.500 0.500
V 0.500 0.000 0.500
Cd 0.500 0.500 0.000
H 0.000 0.000 0.500

For the calculated total energy, the calculation gives -30.11 eV for the cell shown. The magnetization comes out at 0.000 μB per atom.



# 16
DFT (GGA-PBE) results for a relaxed Ni6OsRh8 crystal.

Cell lengths 4.477, 7.326, 7.346 Å; angles 60.12, 90.00, 89.98 degrees
Sites, in units of the cell vectors:
Ni 0.175 0.020 0.119
Ni 0.176 0.862 0.520
Ni 0.177 0.618 0.362
Ni 0.823 0.382 0.638
Ni 0.824 0.138 0.480
Ni 0.825 0.980 0.881
Os 0.000 0.500 0.000
Rh 0.315 0.474 0.741
Rh 0.316 0.241 0.284
Rh 0.317 0.784 0.975
Rh 0.325 0.166 0.667
Rh 0.675 0.834 0.333
Rh 0.683 0.216 0.025
Rh 0.684 0.759 0.716
Rh 0.685 0.526 0.259

For the calculated total energy, the calculation gives -99.83 eV for the cell shown. The magnetization comes out at 0.299 μB per atom. As for the energy of formation: 327 meV per atom.



# 17
DFT (GGA-PBE) results for a relaxed TbInNi crystal.

Cell lengths 4.455, 4.455, 8.256 Å; angles 105.71, 105.71, 60.11 degrees
Sites, in units of the cell vectors:
Tb 0.247 0.247 0.241
Tb 0.753 0.753 0.759
In 0.000 0.000 0.500
In 0.500 0.500 0.000
Ni 0.365 0.365 0.593
Ni 0.635 0.635 0.407

For the calculated total energy, the calculation gives -28.42 eV for the cell shown. The magnetization comes out at 0.000 μB per atom. As for the energy of formation: -353 meV per atom.



# 18
DFT (GGA-PBE) results for a relaxed SrAc5Zn6 crystal.

Cell lengths 8.739, 8.739, 7.836 Å; angles 90.00, 90.00, 143.15 degrees
Sites, in units of the cell vectors:
Sr 0.000 0.000 0.000
Ac 0.000 0.000 0.500
Ac 0.333 0.667 0.500
Ac 0.335 0.665 0.000
Ac 0.665 0.335 0.000
Ac 0.667 0.333 0.500
Zn 0.168 0.832 0.250
Zn 0.168 0.832 0.750
Zn 0.500 0.500 0.251
Zn 0.500 0.500 0.749
Zn 0.832 0.168 0.250
Zn 0.832 0.168 0.750

For the calculated total energy, the calculation gives -32.70 eV for the cell shown. The magnetization comes out at 0.000 μB per atom. As for the energy of formation: -236 meV per atom.



# 19
DFT (GGA-PBE) results for a relaxed La7Pr12Tm crystal.

Cell lengths 9.123, 9.123, 9.123 Å; angles 99.60, 99.60, 99.60 degrees
Sites, in units of the cell vectors:
La 0.000 0.000 0.000
La 0.160 0.589 0.589
La 0.411 0.411 0.840
La 0.411 0.840 0.411
La 0.589 0.160 0.589
La 0.589 0.589 0.160
La 0.840 0.411 0.411
Pr 0.000 0.258 0.742
Pr 0.000 0.742 0.258
Pr 0.149 0.149 0.412
Pr 0.149 0.412 0.149
Pr 0.258 0.000 0.742
Pr 0.258 0.742 0.000
Pr 0.412 0.149 0.149
Pr 0.588 0.851 0.851
Pr 0.742 0.000 0.258
Pr 0.742 0.258 0.000
Pr 0.851 0.588 0.851
Pr 0.851 0.851 0.588
Tm 0.500 0.500 0.500

For the calculated total energy, the calculation gives -94.80 eV for the cell shown. The magnetization comes out at 0.000 μB per atom. As for the energy of formation: 76 meV per atom.